(i)
{
  "formula": "TlZnGa4",
  "functional": "PBE-GGA",
  "state": "relaxed",
  "cell": [[-2.814, -4.784, -1.150], [1.431, -3.115, -4.514], [2.535, -5.019, 0.709]],
  "species": ["Ga", "Ga", "Ga", "Ga", "Zn", "Tl"],
  "fractional_positions": [[0.626, 0.626, 0.626], [0.626, 0.122, 0.626], [0.122, 0.626, 0.626], [0.626, 0.626, 0.122], [0.000, 0.000, 0.000], [0.250, 0.250, 0.250]],
  "spacegroup": "F-43m (216)",
  "magnetic_moment_mub_per_fu": 0.00
}

---

(ii)
{
  "formula": "TlZnGa4",
  "functional": "PBE-GGA",
  "state": "relaxed",
  "cell": [[5.980, -0.095, -1.835], [-0.718, 5.422, -2.620], [-1.163, 0.290, 7.938]],
  "species": ["Tl", "Tl", "Ga", "Ga", "Ga", "Ga", "Ga", "Ga", "Ga", "Ga", "Zn", "Zn"],
  "fractional_positions": [[0.067, 0.201, 0.401], [0.933, 0.799, 0.599], [0.306, 0.695, 0.391], [0.000, 0.226, 0.000], [0.505, 0.680, 0.798], [0.495, 0.320, 0.202], [0.694, 0.305, 0.609], [0.495, 0.882, 0.202], [0.505, 0.118, 0.798], [0.000, 0.774, 0.000], [0.210, 0.424, 0.847], [0.790, 0.576, 0.153]],
  "spacegroup": "C2/m (12)",
  "magnetic_moment_mub_per_fu": 0.00
}

---

Stability check: which of them is least stable? (i).

---

(i)
{
  "formula": "ZrTl2Ga",
  "functional": "PBE-GGA",
  "state": "relaxed",
  "cell": [[0.000, 3.654, 3.654], [3.654, 0.000, 3.654], [3.654, 3.654, 0.000]],
  "species": ["Ga", "Tl", "Tl", "Zr"],
  "fractional_positions": [[0.000, 0.000, 0.000], [0.750, 0.750, 0.750], [0.250, 0.250, 0.250], [0.500, 0.500, 0.500]],
  "spacegroup": "Fm-3m (225)",
  "magnetic_moment_mub_per_fu": 0.00
}

---

(ii)
{
  "formula": "ZrTl2Ga",
  "functional": "PBE-GGA",
  "state": "relaxed",
  "cell": [[7.998, 0.000, 0.000], [0.000, 7.998, 0.000], [3.999, 3.999, 3.014]],
  "species": ["Tl", "Tl", "Tl", "Tl", "Ga", "Ga", "Zr", "Zr"],
  "fractional_positions": [[0.602, 0.125, 0.250], [0.375, 0.398, 0.750], [0.875, 0.852, 0.750], [0.148, 0.625, 0.250], [0.500, 0.500, 0.000], [0.250, 0.750, 0.500], [0.750, 0.250, 0.500], [0.000, 0.000, 0.000]],
  "spacegroup": "I-42d (122)",
  "magnetic_moment_mub_per_fu": 0.00
}

---

(iii)
{
  "formula": "ZrTl2Ga",
  "functional": "PBE-GGA",
  "state": "relaxed",
  "cell": [[-1.995, 1.870, 1.884], [-3.296, -0.335, -0.231], [-1.537, -7.103, 8.350]],
  "species": ["Ga", "Tl", "Tl", "Zr"],
  "fractional_positions": [[0.500, 0.500, 0.500], [0.091, 0.091, 0.728], [0.909, 0.909, 0.272], [0.000, 0.000, 0.000]],
  "spacegroup": "R-3m (166)",
  "magnetic_moment_mub_per_fu": 0.00
}

---

Stability check: which of them is least stable? (i).

---

(i)
{
  "formula": "ZrTlGa3",
  "functional": "PBE-GGA",
  "state": "relaxed",
  "cell": [[5.150, 0.000, 0.000], [0.000, 5.150, 0.000], [0.000, 0.000, 5.150]],
  "species": ["Ga", "Ga", "Ga", "Tl", "Zr"],
  "fractional_positions": [[0.000, 0.500, 0.000], [0.500, 0.000, 0.000], [0.000, 0.000, 0.500], [0.000, 0.000, 0.000], [0.500, 0.500, 0.500]],
  "spacegroup": "Pm-3m (221)",
  "magnetic_moment_mub_per_fu": 0.00
}

---

(ii)
{
  "formula": "ZrTlGa3",
  "functional": "PBE-GGA",
  "state": "relaxed",
  "cell": [[-0.172, -5.109, -1.448], [-1.381, -1.356, 4.948], [-5.128, 0.537, -1.284]],
  "species": ["Zr", "Ga", "Ga", "Ga", "Tl"],
  "fractional_positions": [[0.000, 0.000, 0.000], [0.000, 0.500, 0.000], [0.000, 0.000, 0.500], [0.500, 0.000, 0.000], [0.500, 0.500, 0.500]],
  "spacegroup": "Pm-3m (221)",
  "magnetic_moment_mub_per_fu": 0.00
}

---

Stability check: which of them is least stable? (i).

---

(i)
{
  "formula": "Zr6TlGa",
  "functional": "PBE-GGA",
  "state": "relaxed",
  "cell": [[4.429, 0.000, 0.000], [0.000, 4.429, 0.000], [0.000, 0.000, 8.839]],
  "species": ["Zr", "Zr", "Zr", "Zr", "Zr", "Zr", "Ga", "Tl"],
  "fractional_positions": [[0.000, 0.500, 0.740], [0.500, 0.000, 0.740], [0.500, 0.000, 0.260], [0.000, 0.500, 0.260], [0.500, 0.500, 0.000], [0.500, 0.500, 0.500], [0.000, 0.000, 0.500], [0.000, 0.000, 0.000]],
  "spacegroup": "P4/mmm (123)",
  "magnetic_moment_mub_per_fu": 0.00
}

---

(ii)
{
  "formula": "Zr6TlGa",
  "functional": "PBE-GGA",
  "state": "relaxed",
  "cell": [[-4.752, 1.339, 6.177], [-7.833, 0.292, -1.030], [-4.388, -2.634, 2.259]],
  "species": ["Zr", "Zr", "Zr", "Zr", "Zr", "Zr", "Tl", "Ga"],
  "fractional_positions": [[0.000, 0.500, 0.253], [0.247, 0.000, 0.253], [0.000, 0.500, 0.747], [0.500, 0.247, 0.253], [0.500, 0.753, 0.747], [0.753, 0.000, 0.747], [0.500, 0.500, 0.500], [0.000, 0.000, 0.000]],
  "spacegroup": "Pm-3 (200)",
  "magnetic_moment_mub_per_fu": 0.00
}

---

Stability check: which of them is least stable? (ii).

---

(i)
{
  "formula": "ZrTlGa2",
  "functional": "PBE-GGA",
  "state": "relaxed",
  "cell": [[-3.113, -6.533, 2.542], [3.349, 1.058, 6.820], [-2.289, -1.223, 5.628]],
  "species": ["Zr", "Zr", "Ga", "Ga", "Ga", "Ga", "Tl", "Tl"],
  "fractional_positions": [[0.250, 0.750, 0.500], [0.500, 0.500, 0.000], [0.628, 0.125, 0.250], [0.375, 0.372, 0.750], [0.122, 0.625, 0.250], [0.875, 0.878, 0.750], [0.750, 0.250, 0.500], [0.000, 0.000, 0.000]],
  "spacegroup": "I-42d (122)",
  "magnetic_moment_mub_per_fu": 0.00
}

---

(ii)
{
  "formula": "ZrTlGa2",
  "functional": "PBE-GGA",
  "state": "relaxed",
  "cell": [[0.000, 3.505, 3.505], [3.505, 0.000, 3.505], [3.505, 3.505, 0.000]],
  "species": ["Ga", "Ga", "Tl", "Zr"],
  "fractional_positions": [[0.250, 0.250, 0.250], [0.750, 0.750, 0.750], [0.500, 0.500, 0.500], [0.000, 0.000, 0.000]],
  "spacegroup": "Fm-3m (225)",
  "magnetic_moment_mub_per_fu": 0.00
}

---

Stability check: which of them is least stable? (ii).

---

(i)
{
  "formula": "Zr2Tl2Ga",
  "functional": "PBE-GGA",
  "state": "relaxed",
  "cell": [[7.250, 0.000, 0.000], [0.000, 7.250, 0.000], [0.000, 0.000, 4.550]],
  "species": ["Tl", "Tl", "Tl", "Tl", "Zr", "Zr", "Zr", "Zr", "Ga", "Ga"],
  "fractional_positions": [[0.655, 0.845, 0.500], [0.345, 0.155, 0.500], [0.845, 0.345, 0.500], [0.155, 0.655, 0.500], [0.157, 0.343, 0.000], [0.843, 0.657, 0.000], [0.657, 0.157, 0.000], [0.343, 0.843, 0.000], [0.000, 0.000, 0.000], [0.500, 0.500, 0.000]],
  "spacegroup": "P4/mbm (127)",
  "magnetic_moment_mub_per_fu": 0.00
}

---

(ii)
{
  "formula": "Zr2Tl2Ga",
  "functional": "PBE-GGA",
  "state": "relaxed",
  "cell": [[-0.712, 1.817, 7.020], [-6.818, -2.569, -0.026], [1.468, -3.907, 1.161]],
  "species": ["Zr", "Zr", "Zr", "Zr", "Ga", "Ga", "Tl", "Tl", "Tl", "Tl"],
  "fractional_positions": [[0.830, 0.330, 0.500], [0.330, 0.170, 0.500], [0.170, 0.670, 0.500], [0.670, 0.830, 0.500], [0.500, 0.500, 0.000], [0.000, 0.000, 0.000], [0.861, 0.639, 0.000], [0.639, 0.139, 0.000], [0.361, 0.861, 0.000], [0.139, 0.361, 0.000]],
  "spacegroup": "P4/mbm (127)",
  "magnetic_moment_mub_per_fu": 0.00
}

---

Stability check: which of them is least stable? (ii).